Entry 1:
8
Lattice="2.694 0.000 0.000 1.347 4.818 -0.402 1.347 0.710 5.837" Properties=species:S:1:pos:R:3 comment="LiCuO2 | Alexandria | GGA-PBEsol | optimized geometry" volume_a3_per_cell=76.51 space_group=Cm dos_ef_per_ev_cell=0.83 formation_energy_uncorrected_kj_per_mol_fu=-417 pbc="T T T"
Li 2.694 2.483 0.027
Li 4.040 2.901 2.856
O 4.040 4.327 4.289
O 2.694 1.913 4.160
O 2.694 3.902 1.500
O 1.347 1.490 1.304
Cu 2.694 0.284 1.597
Cu 1.347 0.699 4.438

***

Entry 2:
8
Lattice="-0.235 2.648 -0.603 -4.617 -0.831 -1.851 -2.036 0.886 4.681" Properties=species:S:1:pos:R:3 comment="LiCuO2 | Alexandria | GGA-PBEsol | optimized geometry" volume_a3_per_cell=71.21 space_group=Pnnm formation_energy_uncorrected_kj_per_mol_fu=-424 pbc="T T T"
Li -1.018 0.443 2.340
Li -2.426 0.908 -1.227
Cu -3.327 0.028 1.415
Cu -0.117 1.324 -0.302
O -2.226 1.386 0.792
O -4.661 1.317 1.435
O -3.999 -0.535 -0.794
O -2.654 0.590 3.624